Record 1
# GGA-PBE Tb2YTm, optimized geometry
# M_tot   0.00 μB/cell
# Calculated total energy   -5.025 eV/atom
# Energy above the lowest structure with this stoichiometry   0.0123 eV/atom
# ΔH_f (0 K)   24 meV per atom
data_Tb2YTm
_chemical_formula_sum 'Tb2 Y1 Tm1'
_symmetry_space_group_name_H-M 'P 1'
_symmetry_Int_Tables_number 1
_symmetry_space_group_name_Hall 'P 1'
_cell_length_a 5.019
_cell_length_b 5.019
_cell_length_c 5.009
_cell_angle_alpha 90.00
_cell_angle_beta 90.00
_cell_angle_gamma 90.00
loop_
_atom_site_label
_atom_site_fract_x
_atom_site_fract_y
_atom_site_fract_z
_atom_site_occupancy
Tb1 0.000 0.500 0.000 1
Tb2 0.500 0.000 0.000 1
Y1 0.000 0.000 0.500 1
Tm1 0.500 0.500 0.500 1

Record 2
# GGA-PBE TbY2Tm9, optimized geometry
# M_tot   0.00 μB/cell
# Calculated total energy   -4.754 eV/atom
# Energy above the lowest structure with this stoichiometry   0.0341 eV/atom
# ΔH_f (0 K)   62 meV per atom
data_TbY2Tm9
_chemical_formula_sum 'Tb1 Y2 Tm9'
_symmetry_space_group_name_H-M 'P 1'
_symmetry_Int_Tables_number 1
_symmetry_space_group_name_Hall 'P 1'
_cell_length_a 11.098
_cell_length_b 11.098
_cell_length_c 3.462
_cell_angle_alpha 90.00
_cell_angle_beta 90.00
_cell_angle_gamma 120.00
loop_
_atom_site_label
_atom_site_fract_x
_atom_site_fract_y
_atom_site_fract_z
_atom_site_occupancy
Tb1 0.000 0.000 0.000 1
Y1 0.333 0.667 0.000 1
Y2 0.667 0.333 0.000 1
Tm1 0.000 0.500 0.000 1
Tm2 0.176 0.353 0.500 1
Tm3 0.176 0.824 0.500 1
Tm4 0.353 0.176 0.500 1
Tm5 0.500 0.000 0.000 1
Tm6 0.500 0.500 0.000 1
Tm7 0.647 0.824 0.500 1
Tm8 0.824 0.176 0.500 1
Tm9 0.824 0.647 0.500 1